Here is a relaxed structure of Tb3Sm6Tm2 from Alexandria. Energies are from PBE.

```
data_Tb3Sm6Tm2
_symmetry_space_group_name_H-M 'R -3 m'
_symmetry_Int_Tables_number 166
_symmetry_space_group_name_Hall '-R 3 2"'
_cell_length_a 3.5848
_cell_length_b 3.5848
_cell_length_c 96.2563
_cell_angle_alpha 90.00
_cell_angle_beta 90.00
_cell_angle_gamma 120.00
loop_
_atom_site_label
_atom_site_type_symbol
_atom_site_fract_x
_atom_site_fract_y
_atom_site_fract_z
Tb1 Tb 0.0000 0.0000 0.0000
Tb2 Tb 0.0000 0.0000 0.2725
Sm1 Sm 0.0000 0.0000 0.0913
Sm2 Sm 0.0000 0.0000 0.1822
Sm3 Sm 0.0000 0.0000 0.3638
Tm1 Tm 0.0000 0.0000 0.4546
```

Computed properties:
* formation energy from the elements: 0.0160 eV per atom
* magnetic moment: 0.00 μB/f.u.